Entry from Alexandria via LeMat-Bulk: Ba3PaSb4 after structural relaxation (PBE).

Output
energy	-4.78	eV per atom
calculated volume	645.59	Å³/cell
DOS at the Fermi energy	1.51	states/eV/atom
E_form (uncorrected)	-0.815	eV per atom

Cell: 8.4470 9.7326 8.3435 Å, 90.00 109.75 90.00°
Closest atoms and distances in Å follow each position.
Space group P2/c (No. 13)
Symmetry-distinct sites (fractional):
Ba (0.0000, 0.1189, 0.2500)  6 Sb 3.43-3.75
Ba (0.0000, 0.3785, 0.7500)  6 Sb 3.42-3.80
Ba (0.5000, 0.3784, 0.2500)  6 Sb 3.46-3.50
Pa (0.5000, 0.1204, 0.7500)  6 Sb 3.07-3.13
Sb (0.2724, 0.3431, 0.5287)  1 Pa 3.07, 1 Ba 3.42
Sb (0.2942, 0.1059, 0.9989)  2 Pa 3.13, 2 Ba 3.43-3.46

---

Entry from Alexandria via LeMat-Bulk: BaPaSb after structural relaxation (PBE).

Output
energy	-5.55	eV per atom
calculated volume	407.38	Å³/cell
DOS at the Fermi energy	1.34	states/eV/atom
E_form (uncorrected)	-0.373	eV per atom

Cell: 9.0811 4.3351 10.3481 Å, 90.00 90.00 90.00°
Closest atoms and distances in Å follow each position.
Space group Pnma (No. 62)
Symmetry-distinct sites (fractional):
Ba (0.0545, 0.2500, 0.1552)  5 Sb 3.46-3.61
Pa (0.0760, 0.2500, 0.5443)  2 Pa 2.73
Sb (0.2489, 0.2500, 0.8511)  3 Pa 3.16-3.35, 4 Ba 3.46-3.51

---

Entry from Alexandria via LeMat-Bulk: Ba2PaSb3 after structural relaxation (PBE).

Output
energy	-5.14	eV per atom
calculated volume	930.12	Å³/cell
E_form (uncorrected)	-0.851	eV per atom

Cell: 8.2254 14.2554 8.4008 Å, 90.00 109.23 90.00°
Closest atoms and distances in Å follow each position.
Space group C2/m (No. 12)
Symmetry-distinct sites (fractional):
Ba (0.0000, 0.0000, 0.0000)  6 Sb 3.44-3.46
Ba (0.0000, 0.1586, 0.5000)  6 Sb 3.43-3.69
Ba (0.0000, 0.5000, 0.5000)  6 Sb 3.39-3.67
Pa (0.0000, 0.3318, 0.0000)  6 Sb 3.11-3.12
Sb (0.2044, 0.5000, 0.2096)  2 Pa 3.12, 2 Ba 3.39-3.44
Sb (0.2448, 0.3172, 0.7863)  2 Pa 3.11, 2 Ba 3.43-3.46

---

Entry from Alexandria via LeMat-Bulk: Ba2SmPaSb4 after structural relaxation (PBE).

Output
energy	-5.25	eV per atom
calculated volume	294.10	Å³/cell
DOS at the Fermi energy	0.13	states/eV/atom
E_form (uncorrected)	-0.928	eV per atom

Cell: 7.9761 4.6524 8.3664 Å, 90.00 108.68 90.00°
Closest atoms and distances in Å follow each position.
Space group P2/m (No. 10)
Symmetry-distinct sites (fractional):
Ba (0.0000, 0.0000, 0.0000)  6 Sb 3.57-3.58
Ba (0.5000, 0.5000, 0.0000)  6 Sb 3.48-3.49
Sm (0.0000, 0.5000, 0.5000)  6 Sb 3.19-3.20
Pa (0.5000, 0.0000, 0.5000)  6 Sb 3.07-3.11
Sb (0.2490, 0.0000, 0.7115)  1 Pa 3.07, 2 Sm 3.20
Sb (0.2739, 0.5000, 0.2928)  2 Pa 3.11, 1 Sm 3.19, 1 Ba 3.48

---

Entry from Alexandria via LeMat-Bulk: Ba3Th2PaSb6 after structural relaxation (PBE).

Output
energy	-5.50	eV per atom
calculated volume	894.72	Å³/cell
DOS at the Fermi energy	0.49	states/eV/atom
E_form (uncorrected)	-0.930	eV per atom

Cell: 8.0526 13.9430 8.4094 Å, 90.00 108.63 90.00°
Closest atoms and distances in Å follow each position.
Space group C2/m (No. 12)
Symmetry-distinct sites (fractional):
Ba (0.0000, 0.0000, 0.0000)  6 Sb 3.50-3.58
Ba (0.0000, 0.3309, 0.0000)  6 Sb 3.50-3.56
Th (0.0000, 0.1661, 0.5000)  6 Sb 3.21
Pa (0.0000, 0.5000, 0.5000)  6 Sb 3.12
Sb (0.2331, 0.3376, 0.7130)  1 Pa 3.12, 2 Th 3.21
Sb (0.2473, 0.0000, 0.7144)  1 Pa 3.12, 2 Th 3.21

---

Entry from Alexandria via LeMat-Bulk: Ba2ThPaSb4 after structural relaxation (PBE).

Output
energy	-5.54	eV per atom
calculated volume	296.20	Å³/cell
DOS at the Fermi energy	0.80	states/eV/atom
E_form (uncorrected)	-0.879	eV per atom

Cell: 8.0273 4.6371 8.3951 Å, 90.00 108.58 90.00°
Closest atoms and distances in Å follow each position.
Space group P2/m (No. 10)
Symmetry-distinct sites (fractional):
Ba (0.0000, 0.0000, 0.0000)  6 Sb 3.55-3.56
Ba (0.5000, 0.5000, 0.0000)  6 Sb 3.49
Th (0.0000, 0.5000, 0.5000)  6 Sb 3.20
Pa (0.5000, 0.0000, 0.5000)  6 Sb 3.12-3.13
Sb (0.2455, 0.0000, 0.7140)  1 Pa 3.12, 2 Th 3.20, 2 Ba 3.49
Sb (0.2702, 0.5000, 0.2897)  2 Pa 3.13, 1 Th 3.20, 1 Ba 3.49

---

Entry from Alexandria via LeMat-Bulk: Ba2ScPaSe6 after structural relaxation (PBE).

Output
energy	-5.83	eV per atom
calculated volume	606.48	Å³/cell
E_form (uncorrected)	-1.773	eV per atom

Cell: 7.3990 7.6937 12.9401 Å, 90.00 124.58 90.00°
Closest atoms and distances in Å follow each position.
Space group P2_1/c (No. 14)
Symmetry-distinct sites (fractional):
Ba (0.2299, 0.0659, 0.2486)  8 Se 3.32-3.67
Sc (0.0000, 0.0000, 0.5000)  6 Se 2.69-2.73
Pa (0.5000, 0.0000, 0.0000)  6 Se 2.76-2.78
Se (0.1592, 0.2062, 0.9597)  1 Sc 2.73, 1 Pa 2.77
Se (0.2558, 0.7015, 0.9601)  1 Sc 2.71, 1 Pa 2.78
Se (0.3236, 0.0105, 0.7467)  1 Sc 2.69, 1 Pa 2.76

---

Entry from Alexandria via LeMat-Bulk: BaPa6Se12 after structural relaxation (PBE).

Output
energy	-6.53	eV per atom
calculated volume	1555.44	Å³/cell
DOS at the Fermi energy	1.00	states/eV/atom
E_form (uncorrected)	-1.228	eV per atom

Cell: 13.7733 13.7733 9.4678 Å, 90.00 90.00 120.00°
Closest atoms and distances in Å follow each position.
Space group R-3m (No. 166, hexagonal axes)
Symmetry-distinct sites (fractional):
Ba (0.0000, 0.0000, 0.0000)  6 Se 3.68
Pa (0.0563, 0.5281, 0.2585)  7 Se 2.84-3.00
Se (0.0000, 0.3759, 0.5000)  4 Pa 2.93-2.97
Se (0.0859, 0.1717, 0.3228)  3 Pa 2.84-3.00

---

Entry from Alexandria via LeMat-Bulk: BaPa2Se6 after structural relaxation (PBE).

Output
energy	-6.08	eV per atom
calculated volume	662.64	Å³/cell
E_form (uncorrected)	-1.437	eV per atom
polymorph energy (0 for the lowest one)	76	meV per atom

Cell: 14.1467 5.5547 10.0882 Å, 90.00 123.29 90.00°
Closest atoms and distances in Å follow each position.
Space group C2/m (No. 12)
Symmetry-distinct sites (fractional):
Ba (0.0000, 0.0000, 0.0000)  6 Se 3.33-3.34
Pa (0.1764, 0.0000, 0.5942)  6 Se 2.62-2.90
Se (0.0297, 0.0000, 0.6946)  2 Pa 2.76-2.77
Se (0.1569, 0.5000, 0.1070)  1 Pa 2.62
Se (0.2087, 0.5000, 0.5718)  3 Pa 2.84-2.90

---

Entry from Alexandria via LeMat-Bulk: Ba2Pa3Se8 after structural relaxation (PBE).

Output
energy	-6.20	eV per atom
calculated volume	927.05	Å³/cell
DOS at the Fermi energy	1.19	states/eV/atom
E_form (uncorrected)	-1.572	eV per atom
polymorph energy (0 for the lowest one)	0	meV per atom

Cell: 15.7120 8.5860 7.2587 Å, 90.00 108.79 90.00°
Closest atoms and distances in Å follow each position.
Space group C2/m (No. 12)
Symmetry-distinct sites (fractional):
Ba (0.2312, 0.0000, 0.1644)  6 Se 3.25-3.35
Pa (0.0000, 0.2454, 0.5000)  6 Se 2.82-2.93
Pa (0.0000, 0.5000, 0.0000)  6 Se 2.84-2.87
Se (0.1035, 0.5000, 0.4062)  3 Pa 2.87-2.93
Se (0.1090, 0.2738, 0.8983)  2 Pa 2.84-2.86
Se (0.1114, 0.0000, 0.4585)  2 Pa 2.82

---

Entry from Alexandria via LeMat-Bulk: Ba3PaSe6 after structural relaxation (PBE).

Output
energy	-5.26	eV per atom
calculated volume	715.77	Å³/cell
DOS at the Fermi energy	1.09	states/eV/atom
E_form (uncorrected)	-1.644	eV per atom
polymorph energy (0 for the lowest one)	45	meV per atom

Cell: 7.8241 8.3686 13.1976 Å, 90.00 124.07 90.00°
Closest atoms and distances in Å follow each position.
Space group P2_1/c (No. 14)
Symmetry-distinct sites (fractional):
Ba (0.0000, 0.0000, 0.0000)  6 Se 3.21-3.30
Ba (0.2082, 0.0785, 0.7395)  6 Se 3.28-3.54
Pa (0.5000, 0.0000, 0.5000)  6 Se 2.75-2.81
Se (0.1588, 0.1804, 0.4423)  1 Pa 2.78
Se (0.2517, 0.7251, 0.4195)  1 Pa 2.81
Se (0.4082, 0.0604, 0.2694)  1 Pa 2.75

---

Entry from Alexandria via LeMat-Bulk: Ba3Pa2Se8 after structural relaxation (PBE).

Output
energy	-5.45	eV per atom
calculated volume	1445.53	Å³/cell
E_form (uncorrected)	-1.398	eV per atom

Cell: 7.6581 7.6581 28.4614 Å, 90.00 90.00 120.00°
Closest atoms and distances in Å follow each position.
Space group R-3m (No. 166, hexagonal axes)
Symmetry-distinct sites (fractional):
Ba (0.0000, 0.0000, 0.0000)  6 Se 3.59
Ba (0.0000, 0.0000, 0.1969)  4 Se 3.15-3.32
Pa (0.0000, 0.0000, 0.4003)  4 Se 2.63-2.64
Se (0.0000, 0.0000, 0.3076)  1 Pa 2.64
Se (0.0292, 0.5146, 0.7709)  1 Pa 2.63

---

Entry from Alexandria via LeMat-Bulk: Ba2Pa2Se7 after structural relaxation (PBE).

Output
energy	-5.80	eV per atom
calculated volume	706.05	Å³/cell
E_form (uncorrected)	-1.510	eV per atom

Cell: 9.0915 10.5487 7.3620 Å, 90.00 90.00 90.00°
Closest atoms and distances in Å follow each position.
Space group Cmmm (No. 65)
Symmetry-distinct sites (fractional):
Ba (0.2391, 0.0000, 0.0000)  6 Se 3.14-3.28
Pa (0.0000, 0.2751, 0.5000)  7 Se 2.87-2.90
Se (0.0000, 0.0000, 0.5000)  2 Pa 2.90
Se (0.0000, 0.5000, 0.2795)  2 Pa 2.87, 2 Ba 3.14
Se (0.2500, 0.2500, 0.2652)  2 Pa 2.87

---

Entry from Alexandria via LeMat-Bulk: Ba3PaSe6 after structural relaxation (PBE).

Output
energy	-5.31	eV per atom
calculated volume	2158.68	Å³/cell
DOS at the Fermi energy	0.99	states/eV/atom
E_form (uncorrected)	-1.689	eV per atom
polymorph energy (0 for the lowest one)	0	meV per atom

Cell: 12.6239 12.6239 15.6411 Å, 90.00 90.00 120.00°
Closest atoms and distances in Å follow each position.
Space group R-3c (No. 167, hexagonal axes)
Symmetry-distinct sites (fractional):
Ba (0.0000, 0.3682, 0.2500)  8 Se 3.34-3.53
Pa (0.0000, 0.0000, 0.0000)  6 Se 2.77
Se (0.0227, 0.1889, 0.3969)  1 Pa 2.77

---

Entry from Alexandria via LeMat-Bulk: Ba2Pa3Se8 after structural relaxation (PBE).

Output
energy	-6.15	eV per atom
calculated volume	431.06	Å³/cell
DOS at the Fermi energy	1.37	states/eV/atom
E_form (uncorrected)	-1.514	eV per atom
polymorph energy (0 for the lowest one)	58	meV per atom

Cell: 8.9546 4.4657 11.4496 Å, 90.00 109.70 90.00°
Closest atoms and distances in Å follow each position.
Space group P2/m (No. 10)
Symmetry-distinct sites (fractional):
Ba (0.2459, 0.0000, 0.2805)  6 Se 3.13-3.47
Pa (0.2369, 0.5000, 0.6711)  7 Se 2.81-3.07
Pa (0.5000, 0.0000, 0.0000)  6 Se 2.82-2.93
Se (0.0948, 0.5000, 0.3969)  2 Pa 2.81-2.96, 2 Ba 3.13
Se (0.1863, 0.0000, 0.8319)  3 Pa 2.82-3.02
Se (0.3740, 0.0000, 0.5924)  2 Pa 2.84
Se (0.4270, 0.5000, 0.1378)  3 Pa 2.93-3.07

---

Entry from Alexandria via LeMat-Bulk: Ba4PaSe6 after structural relaxation (PBE).

Output
energy	-5.34	eV per atom
calculated volume	2265.18	Å³/cell
DOS at the Fermi energy	0.35	states/eV/atom
E_form (uncorrected)	-1.881	eV per atom

Cell: 12.8364 12.8364 15.8739 Å, 90.00 90.00 120.00°
Closest atoms and distances in Å follow each position.
Space group R-3c (No. 167, hexagonal axes)
Symmetry-distinct sites (fractional):
Ba (0.0000, 0.0000, 0.2500)  6 Se 3.28
Ba (0.0000, 0.3739, 0.2500)  8 Se 3.40-3.58
Pa (0.0000, 0.0000, 0.0000)  6 Se 2.87
Se (0.0278, 0.1942, 0.3950)  1 Pa 2.87

---

Entry from Alexandria via LeMat-Bulk: BaPa2Se8 after structural relaxation (PBE).

Output
energy	-5.59	eV per atom
calculated volume	602.68	Å³/cell
DOS at the Fermi energy	0.74	states/eV/atom
E_form (uncorrected)	-1.154	eV per atom

Cell: 8.7323 12.7228 5.4552 Å, 90.00 96.07 90.00°
Closest atoms and distances in Å follow each position.
Space group C2/m (No. 12)
Symmetry-distinct sites (fractional):
Ba (0.0000, 0.0000, 0.0000)  12 Se 3.33-3.72
Pa (0.0000, 0.3024, 0.5000)  8 Se 2.78-3.10
Se (0.0000, 0.2616, 0.0000)  2 Pa 2.78
Se (0.0766, 0.5000, 0.8223)  1 Se 2.47
Se (0.2019, 0.1224, 0.5460)  2 Pa 2.81-2.88, 1 Se 3.12